14
Lattice="1.345 4.896 -2.592 3.428 -3.663 -2.707 -6.696 -1.599 -2.287" Properties=species:S:1:pos:R:3 comment="V2O4F | Alexandria via LeMat-Bulk | PBE+U | relaxed" energy_ev_per_fu=-50.48 pbc="T T T"
O -0.204 -3.833 -4.070
O -1.259 0.451 -2.590
O -2.497 0.965 -4.995
F 1.050 -0.551 -1.520
O 2.943 -2.208 -2.916
V -3.967 -2.923 -3.764
V -2.856 0.278 -3.145
V 0.398 1.460 -1.996
O -4.795 0.427 -3.723
O -0.502 3.105 -2.498
O 1.021 1.062 -3.861
V 1.366 0.144 -5.248
O -2.903 -1.583 -3.694
F 0.230 -1.313 -5.321